Computed, not measured: a geometry-optimized EuThSc2 structure at the PBE level of DFT.

Output
As for the formation energy: 0.553 eV/f.u. Its mass density is 6.738 Mg/m³. As for the density of states at the Fermi level: 1.27 states/eV/atom.

Geometry as POSCAR:
```
EuThSc2
1.0
-1.711 1.973 -2.690
-4.733 -2.799 0.958
-1.504 3.833 3.768
Eu Sc Th
1 2 1
Direct
0.500 0.500 0.500
0.000 0.000 0.500
0.000 0.500 0.000
0.500 0.000 0.000
```


Computed, not measured: a geometry-optimized EuThSc2 structure at the PBE level of DFT.

Output
As for the formation energy: 0.347 eV/f.u. Its mass density is 6.563 Mg/m³. As for the density of states at the Fermi level: 1.23 states/eV/atom.

Geometry as POSCAR:
```
EuThSc2
1.0
-2.719 0.859 -2.106
0.506 -2.971 -1.866
-5.969 -4.664 5.804
Eu Sc Th
1 2 1
Direct
0.500 0.500 0.500
0.000 0.000 0.771
0.000 0.000 0.229
0.500 0.500 0.000
```


Computed, not measured: a geometry-optimized EuThSc2 structure at the PBE level of DFT.

Output
As for the formation energy: 0.686 eV/f.u. Its mass density is 6.697 Mg/m³. As for the density of states at the Fermi level: 1.57 states/eV/atom.

Geometry as POSCAR:
```
EuThSc2
1.0
-3.014 3.853 -2.510
-4.978 1.293 1.942
-0.825 4.861 2.432
Sc Th Eu
2 1 1
Direct
0.750 0.750 0.750
0.250 0.250 0.250
0.500 0.500 0.500
0.000 0.000 0.000
```


Computed, not measured: a geometry-optimized EuTmThSc structure at the PBE level of DFT.

Output
As for the formation energy: 0.731 eV/f.u. Its mass density is 7.989 Mg/m³. As for the density of states at the Fermi level: 1.50 states/eV/atom.

Geometry as POSCAR:
```
EuTmThSc
1.0
5.601 0.000 0.000
2.801 4.851 0.000
2.801 1.617 4.574
Sc Eu Tm Th
1 1 1 1
Direct
0.750 0.750 0.750
0.000 0.000 0.000
0.250 0.250 0.250
0.500 0.500 0.500
```


Computed, not measured: a geometry-optimized EuScTl2 structure at the PBE level of DFT.

Output
As for the formation energy: -0.789 eV/f.u. Its mass density is 8.791 Mg/m³. As for the density of states at the Fermi level: 1.38 states/eV/atom.

Geometry as POSCAR:
```
EuScTl2
1.0
3.650 0.000 0.000
1.825 3.161 0.000
1.825 1.054 9.916
Tl Eu Sc
2 1 1
Direct
0.256 0.256 0.232
0.744 0.744 0.768
0.500 0.500 0.500
0.000 0.000 0.000
```


Computed, not measured: a geometry-optimized EuSc2Tl structure at the PBE level of DFT.

Output
As for the formation energy: -0.005 eV/f.u. Its mass density is 7.256 Mg/m³. As for the density of states at the Fermi level: 1.46 states/eV/atom.

Geometry as POSCAR:
```
EuSc2Tl
1.0
5.247 0.000 0.000
2.623 4.544 0.000
2.623 1.515 4.284
Sc Eu Tl
2 1 1
Direct
0.750 0.750 0.750
0.250 0.250 0.250
0.000 0.000 0.000
0.500 0.500 0.500
```